# 1
A relaxed In2CoPb crystal. Source: Alexandria via LeMat-Bulk, functional GGA-PBE.

abc: 3.3464 3.3464 28.6364
angles: 90.00 90.00 120.00
Space group R-3m (No. 166, hexagonal axes)
Asymmetric unit:
1 In 0.0000 0.0000 0.2299 x6
2 Co 0.0000 0.0000 0.5000 x3
3 Pb 0.0000 0.0000 0.0000 x3

Computed properties:
* magnetization: 1.10 μB/f.u.
* E: -3.808 eV per atom

---

# 2
A relaxed In2CoPb crystal. Source: Alexandria via LeMat-Bulk, functional GGA-PBE.

abc: 5.974 8.835 3.436
angles: 90.00 90.00 90.00
Space group Cmmm (No. 65)
Asymmetric unit:
1 In 0.250 0.250 0.000 x4
2 Co 0.000 0.000 0.500 x2
3 Pb 0.000 0.500 0.500 x2

Computed properties:
* magnetization: 1.40 μB/f.u.
* E: -3.586 eV per atom

---

# 3
A relaxed In2CoPb crystal. Source: Alexandria via LeMat-Bulk, functional GGA-PBE.

abc: 5.017 11.759 3.308
angles: 90.00 90.00 90.00
Space group Cmmm (No. 65)
Asymmetric unit:
1 In 0.000 0.175 0.000 x4
2 Co 0.000 0.000 0.500 x2
3 Pb 0.000 0.500 0.500 x2

Computed properties:
* magnetization: 0.46 μB/f.u.
* E: -3.844 eV per atom